No. 1
The following is a PBE calculation of crystalline ErScBiTe at its relaxed geometry, from Alexandria via LeMat-Bulk.

Output
VASP energy	-5.4007	eV per atom
crystal system	trigonal
E_form (uncorrected)	-21.2	kcal/mol of atoms
total moment	0.050	μB per atom

a = 7.8034 Å, b = 7.8034 Å, c = 7.8034 Å
α = 31.29°, β = 31.29°, γ = 31.29°
Atoms (fractional coordinates):
1 Er 0.0000 0.0000 0.0000
2 Sc 0.1722 0.1722 0.1722
3 Bi 0.5798 0.5798 0.5798
4 Te 0.7568 0.7568 0.7568

***

No. 2
The following is a PBE calculation of crystalline SrHoIrPd at its relaxed geometry, from Alexandria via LeMat-Bulk.

Output
VASP energy	-5.6041	eV per atom
crystal system	cubic
ΔE_f	-2.10	eV per formula unit
total moment	0.000	μB per atom

a = 5.0002 Å, b = 5.0002 Å, c = 5.0002 Å
α = 60.00°, β = 60.00°, γ = 60.00°
Atoms (fractional coordinates):
1 Sr 0.0000 0.0000 0.0000
2 Ho 0.5000 0.5000 0.5000
3 Ir 0.2500 0.2500 0.2500
4 Pd 0.7500 0.7500 0.7500

***

No. 3
The following is a PBE calculation of crystalline Hg2PtPb at its relaxed geometry, from Alexandria via LeMat-Bulk.

Output
VASP energy	-2.5935	eV per atom
crystal system	orthorhombic
ΔE_f	-0.02	eV per formula unit
total moment	0.000	μB per atom

a = 7.3156 Å, b = 7.3156 Å, c = 7.3156 Å
α = 155.61°, β = 142.17°, γ = 45.53°
Atoms (fractional coordinates):
1 Hg 0.0000 0.0000 0.0000
2 Hg 0.6797 0.1797 0.5000
3 Pt 0.4948 0.4948 0.0000
4 Pb 0.3084 0.8084 0.5000

***

Q: What is the VASP energy in the second record?
A: -5.6041 eV per atom

***

Q: Among the records above, which one has the highest VASP energy?
A: Hg2PtPb